A plane-wave DFT calculation with PBE with a Hubbard U was carried out for ErCrTeO6 after structural relaxation.

Cell: 5.179 5.179 9.696 Å, 90.00 90.00 120.00°
Positions (direct):
1 Er 0.000 0.000 0.000
2 Er 0.000 0.000 0.500
3 Cr 0.333 0.667 0.250
4 Cr 0.667 0.333 0.750
5 Te 0.333 0.667 0.750
6 Te 0.667 0.333 0.250
7 O 0.010 0.363 0.862
8 O 0.010 0.647 0.638
9 O 0.353 0.363 0.638
10 O 0.353 0.990 0.862
11 O 0.363 0.010 0.362
12 O 0.363 0.353 0.138
13 O 0.637 0.647 0.862
14 O 0.637 0.990 0.638
15 O 0.647 0.010 0.138
16 O 0.647 0.637 0.362
17 O 0.990 0.353 0.362
18 O 0.990 0.637 0.138

Output
For the volume, the calculation gives 12.511 A^3/atom. The value obtained for the energy above the most stable polymorph in this dataset is 0.000 eV/atom. The mass density is 6.531 g cm⁻³.